(1)
OsN2 | OQMD | PBE | optimized geometry; E = -8.99 eV/atom; ΔE to the lowest computed polymorph = 0 meV per atom; size of the total moment = 0.00 μB/atom
1.0
2.806 0.000 0.000
-1.403 2.430 0.000
0.000 0.000 4.948
N Os
2 1
direct
0.000 0.000 0.617
0.000 0.000 0.383
0.000 0.000 0.000

(2)
OsN2 | OQMD | PBE | optimized geometry; E = -8.40 eV/atom; ΔE to the lowest computed polymorph = 597 meV per atom; size of the total moment = 0.00 μB/atom
1.0
-1.715 -2.487 -0.009
1.431 0.838 2.525
-5.881 4.049 1.989
N Os
4 2
direct
0.000 0.000 0.912
0.000 0.000 0.088
0.000 0.000 0.588
0.000 0.000 0.412
0.667 0.333 0.250
0.333 0.667 0.750

(3)
Sr2PrOsN6 | OQMD | PBE | optimized geometry; E = -6.83 eV/atom; size of the total moment = 0.30 μB/atom
1.0
5.084 -2.974 0.000
5.084 2.974 0.000
-3.426 0.000 5.084
N Pr Sr Os
6 1 2 1
direct
0.782 0.323 0.833
0.718 0.718 0.310
0.218 0.677 0.167
0.282 0.282 0.690
0.323 0.782 0.833
0.677 0.218 0.167
0.000 0.000 0.500
0.241 0.241 0.227
0.759 0.759 0.773
0.500 0.500 0.000

(4)
Rb2OsWN4 | OQMD | PBE | optimized geometry; E = -7.55 eV/atom; size of the total moment = 0.00 μB/atom
1.0
-2.989 2.989 4.299
2.989 -2.989 4.299
2.989 2.989 -4.299
N Rb W Os
4 2 1 1
direct
0.193 0.376 0.320
0.624 0.944 0.817
0.056 0.873 0.680
0.127 0.807 0.183
0.500 0.500 0.000
0.750 0.250 0.500
0.000 0.000 0.000
0.250 0.750 0.500

(5)
Si4OsN4 | OQMD | PBE | optimized geometry; E = -7.98 eV/atom; size of the total moment = 0.00 μB/atom
1.0
4.241 0.000 0.000
1.649 4.593 0.000
1.984 -0.267 4.929
Si N Os
4 4 1
direct
0.420 0.562 0.860
0.625 0.761 0.245
0.819 0.965 0.662
0.234 0.337 0.439
0.393 0.257 0.708
0.549 0.445 0.158
0.169 0.025 0.362
0.795 0.625 0.553
0.996 0.005 0.004

(6)
Sr3OsN3 | OQMD | PBE | optimized geometry; E = -6.45 eV/atom; size of the total moment = 0.25 μB/atom
1.0
7.754 0.000 0.000
-3.877 6.715 0.000
0.000 0.000 5.312
N Os Sr
6 2 6
direct
0.105 0.415 0.750
0.585 0.690 0.750
0.310 0.895 0.750
0.415 0.310 0.250
0.690 0.105 0.250
0.895 0.585 0.250
0.333 0.667 0.750
0.667 0.333 0.250
0.358 0.261 0.750
0.097 0.358 0.250
0.903 0.642 0.750
0.642 0.739 0.250
0.261 0.903 0.250
0.739 0.097 0.750

(7)
Sr3OsN6 | OQMD | PBE | optimized geometry; E = -6.21 eV/atom; size of the total moment = 0.28 μB/atom
1.0
-2.499 -2.804 4.832
-2.006 3.296 4.751
-6.007 0.499 1.059
N Os Sr
6 1 3
direct
0.222 0.778 0.778
0.778 0.222 0.778
0.222 0.778 0.222
0.778 0.778 0.222
0.222 0.222 0.778
0.778 0.222 0.222
0.000 0.000 0.000
0.250 0.250 0.250
0.750 0.750 0.750
0.500 0.500 0.500

(8)
Sr2YOsN6 | OQMD | PBE | optimized geometry; E = -7.11 eV/atom; size of the total moment = 0.01 μB/atom
1.0
5.846 0.000 0.000
2.906 5.099 0.000
2.845 1.688 4.914
N Sr Y Os
6 2 1 1
direct
0.740 0.778 0.182
0.840 0.720 0.705
0.160 0.280 0.295
0.260 0.222 0.818
0.732 0.308 0.199
0.268 0.692 0.801
0.749 0.248 0.760
0.251 0.752 0.240
0.500 0.000 0.500
0.000 0.500 0.000